{"formula": "KRbBi", "functional": "PBE", "state": "optimized geometry", "space_group": "No. 8", "e_above_lowest_polymorph_mev_per_atom": 116, "e_form_ev_per_atom": -0.2253, "magmom_total_mub_per_fu": 0.0, "lattice": [[12.6524, -2.8975, 0.0000], [12.6524, 2.8975, 0.0000], [-0.8817, 0.0000, 4.7230]], "species": ["K", "K", "Rb", "Rb", "Bi", "Bi"], "frac_coords": [[0.0000, 0.0000, 0.0000], [0.1219, 0.1219, 0.6158], [0.3750, 0.3750, 0.3821], [0.7414, 0.7414, 0.7522], [0.5285, 0.5285, 0.5277], [0.6102, 0.6102, 0.1073]]}